Arrangement A

Compound: CaCoTc2
Source: Alexandria
Functional: PBE
Structure: relaxed

Cell lengths 7.4219, 7.4219, 5.8188 Å; angles 50.38, 50.38, 90.00 degrees
Sites, in units of the cell vectors:
Ca (0.2500, 0.7500, 0.5000)
Tc (0.8750, 0.9384, 0.7500)
Co (0.7500, 0.2500, 0.5000)
Tc (0.6884, 0.1250, 0.2500)
Co (0.0000, 0.0000, 0.0000)
Tc (0.0616, 0.6250, 0.2500)
Ca (0.5000, 0.5000, 0.0000)
Tc (0.3750, 0.3116, 0.7500)

Summary:
density of states at the Fermi level = 10.4 states/eV/cell
symmetry = I-42d



Arrangement B

Compound: CaCoTc2
Source: Alexandria
Functional: PBE
Structure: relaxed

Cell lengths 2.6921, 2.6921, 8.6677 Å; angles 90.00, 90.00, 90.03 degrees
Sites, in units of the cell vectors:
Tc (0.0000, 0.0000, 0.5458)
Co (0.5000, 0.5000, 0.7500)
Ca (0.5000, 0.5000, 0.2500)
Tc (0.0000, 0.0000, 0.9542)

Summary:
density of states at the Fermi level = 3.6 states/eV/cell
symmetry = P4/mmm



Arrangement C

Compound: CaCoTc2
Source: Alexandria
Functional: PBE
Structure: relaxed

Cell lengths 4.6162, 4.6162, 5.6643 Å; angles 81.44, 81.44, 35.79 degrees
Sites, in units of the cell vectors:
Co (0.7312, 0.7312, 0.8115)
Tc (0.0097, 0.0097, 0.0118)
Tc (0.2673, 0.2673, 0.1560)
Ca (0.4917, 0.4917, 0.5207)

Summary:
density of states at the Fermi level = 4.4 states/eV/cell
symmetry = Cm



Arrangement D

Compound: CaCoTc2
Source: Alexandria
Functional: PBE
Structure: relaxed

Cell lengths 4.7244, 3.6907, 3.6907 Å; angles 90.00, 90.00, 90.00 degrees
Sites, in units of the cell vectors:
Tc (0.0000, 0.5000, 0.5000)
Tc (0.0000, 0.0000, 0.0000)
Ca (0.5000, 0.5000, 0.0000)
Co (0.5000, 0.0000, 0.5000)

Summary:
density of states at the Fermi level = 6.5 states/eV/cell
symmetry = P4/mmm



Which structure is most stable? arrangement B, by 0.012 eV/atom over the runner-up.



Arrangement A

Compound: CaCoTc2
Source: Alexandria
Functional: PBE
Structure: relaxed

Cell lengths 5.2337, 5.2337, 5.2337 Å; angles 145.15, 125.11, 66.68 degrees
Sites, in units of the cell vectors:
Ca (0.5039, 0.5039, 0.0000)
Tc (0.9994, 0.9994, 0.0000)
Co (0.7791, 0.2791, 0.5000)
Tc (0.2176, 0.7176, 0.5000)

Summary:
density of states at the Fermi level = 4.4 states/eV/cell
symmetry = Imm2



Arrangement B

Compound: CaCoTc2
Source: Alexandria
Functional: PBE
Structure: relaxed

Cell lengths 4.4442, 4.4442, 4.4442 Å; angles 60.00, 60.00, 60.00 degrees
Sites, in units of the cell vectors:
Ca (0.0000, 0.0000, 0.0000)
Co (0.5000, 0.5000, 0.5000)
Tc (0.7500, 0.7500, 0.7500)
Tc (0.2500, 0.2500, 0.2500)

Summary:
density of states at the Fermi level = 5.6 states/eV/cell
symmetry = Fm-3m



Arrangement C

Compound: CaCoTc2
Source: Alexandria
Functional: PBE
Structure: relaxed

Cell lengths 5.3727, 5.3727, 2.5678 Å; angles 90.00, 90.00, 121.07 degrees
Sites, in units of the cell vectors:
Ca (0.5000, 0.0000, 0.5000)
Tc (0.0000, 0.0000, 0.0000)
Co (0.0000, 0.5000, 0.5000)
Tc (0.5000, 0.5000, 0.0000)

Summary:
density of states at the Fermi level = 4.4 states/eV/cell
symmetry = Cmmm



Which structure is most stable? arrangement A, by 0.089 eV/atom over the runner-up.